# 1
Compound: LiP2Au
Source: Alexandria via LeMat-Bulk
Functional: PBE
Structure: relaxed

```
data_LiP2Au
_chemical_formula_sum 'Li2 P4 Au2'
_symmetry_space_group_name_H-M 'C 1 2/m 1'
_symmetry_Int_Tables_number 12
_cell_length_a 5.1410
_cell_length_b 6.7121
_cell_length_c 3.5890
_cell_angle_alpha 90.00
_cell_angle_beta 90.17
_cell_angle_gamma 90.00
loop_
_symmetry_equiv_pos_as_xyz
'x,y,z'
'-x,-y,-z'
'-x,y,-z'
'x,-y,z'
'x+1/2,y+1/2,z'
'-x+1/2,-y+1/2,-z'
'-x+1/2,y+1/2,-z'
'x+1/2,-y+1/2,z'
loop_
_atom_site_label
_atom_site_type_symbol
_atom_site_fract_x
_atom_site_fract_y
_atom_site_fract_z
Li1 Li 0.0000 0.0000 0.0000
P1 P 0.2500 0.2500 0.5000
Au1 Au 0.0000 0.5000 0.0000
```

Output
Relative energy among the computed polymorphs ... 388 meV/atom
Formation enthalpy at 0 K ... 0.14 eV/f.u.

# 2
Compound: La6Co2NiCl3
Source: Alexandria via LeMat-Bulk
Functional: PBE
Structure: relaxed

```
data_La6Co2NiCl3
_chemical_formula_sum 'La12 Co4 Ni2 Cl6'
_symmetry_space_group_name_H-M 'C 1 2/m 1'
_symmetry_Int_Tables_number 12
_cell_length_a 19.4177
_cell_length_b 4.0251
_cell_length_c 8.9359
_cell_angle_alpha 90.00
_cell_angle_beta 110.36
_cell_angle_gamma 90.00
loop_
_symmetry_equiv_pos_as_xyz
'x,y,z'
'-x,-y,-z'
'-x,y,-z'
'x,-y,z'
'x+1/2,y+1/2,z'
'-x+1/2,-y+1/2,-z'
'-x+1/2,y+1/2,-z'
'x+1/2,-y+1/2,z'
loop_
_atom_site_label
_atom_site_type_symbol
_atom_site_fract_x
_atom_site_fract_y
_atom_site_fract_z
La1 La 0.0124 0.0000 0.2254
La2 La 0.1605 0.5000 0.1182
La3 La 0.1770 0.5000 0.5521
Co1 Co 0.1665 0.0000 0.3317
Ni1 Ni 0.0000 0.5000 0.0000
Cl1 Cl 0.0000 0.5000 0.5000
Cl2 Cl 0.1660 0.0000 0.8334
```

Output
Formation energy (no corrections) ... -956.3 meV per atom

# 3
Compound: FeOs2Br
Source: Alexandria via LeMat-Bulk
Functional: PBE
Structure: relaxed

```
data_FeOs2Br
_chemical_formula_sum 'Fe2 Os4 Br2'
_symmetry_space_group_name_H-M 'C 1 2/m 1'
_symmetry_Int_Tables_number 12
_cell_length_a 11.0603
_cell_length_b 2.7985
_cell_length_c 4.0726
_cell_angle_alpha 90.00
_cell_angle_beta 100.02
_cell_angle_gamma 90.00
loop_
_symmetry_equiv_pos_as_xyz
'x,y,z'
'-x,-y,-z'
'-x,y,-z'
'x,-y,z'
'x+1/2,y+1/2,z'
'-x+1/2,-y+1/2,-z'
'-x+1/2,y+1/2,-z'
'x+1/2,-y+1/2,z'
loop_
_atom_site_label
_atom_site_type_symbol
_atom_site_fract_x
_atom_site_fract_y
_atom_site_fract_z
Fe1 Fe 0.0000 0.0000 0.0000
Os1 Os 0.2048 0.5000 0.2177
Br1 Br 0.0000 0.5000 0.5000
```

Output
Relative energy among the computed polymorphs ... 208 meV/atom
Formation energy (no corrections) ... 881.5 meV per atom

# 4
Compound: CdHS
Source: Alexandria via LeMat-Bulk
Functional: PBE
Structure: relaxed

```
data_CdHS
_chemical_formula_sum 'Cd2 H2 S2'
_symmetry_space_group_name_H-M 'P -1'
_symmetry_Int_Tables_number 2
_cell_length_a 4.5046
_cell_length_b 4.5099
_cell_length_c 7.1437
_cell_angle_alpha 106.11
_cell_angle_beta 105.11
_cell_angle_gamma 90.43
loop_
_symmetry_equiv_pos_as_xyz
'x,y,z'
'-x,-y,-z'
loop_
_atom_site_label
_atom_site_type_symbol
_atom_site_fract_x
_atom_site_fract_y
_atom_site_fract_z
Cd1 Cd 0.2500 0.2504 0.0005
H1 H 0.0508 0.5617 0.4942
S1 S 0.3358 0.8410 0.2051
```

Output
VASP energy ... -18.5 eV per cell

# 5
Compound: Be3ReTe
Source: Alexandria via LeMat-Bulk
Functional: PBE
Structure: relaxed

```
data_Be3ReTe
_chemical_formula_sum 'Be3 Re1 Te1'
_symmetry_space_group_name_H-M 'P m -3 m'
_symmetry_Int_Tables_number 221
_symmetry_space_group_name_Hall '-P 4 2 3'
_cell_length_a 4.4680
_cell_length_b 4.4680
_cell_length_c 4.4680
_cell_angle_alpha 90.00
_cell_angle_beta 90.00
_cell_angle_gamma 90.00
loop_
_atom_site_label
_atom_site_type_symbol
_atom_site_fract_x
_atom_site_fract_y
_atom_site_fract_z
Be1 Be 0.0000 0.0000 0.5000
Re1 Re 0.5000 0.5000 0.5000
Te1 Te 0.0000 0.0000 0.0000
```

Output
Relative energy among the computed polymorphs ... 983 meV/atom
Formation energy (no corrections) ... 2023.4 meV per atom

# 6
Compound: HfCuGeIr
Source: Alexandria via LeMat-Bulk
Functional: PBE
Structure: relaxed

```
data_HfCuGeIr
_chemical_formula_sum 'Hf4 Cu4 Ge4 Ir4'
_symmetry_space_group_name_H-M 'F -4 3 m'
_symmetry_Int_Tables_number 216
_symmetry_space_group_name_Hall 'F -4 2 3'
_cell_length_a 6.3105
_cell_length_b 6.3105
_cell_length_c 6.3105
_cell_angle_alpha 90.00
_cell_angle_beta 90.00
_cell_angle_gamma 90.00
loop_
_atom_site_label
_atom_site_type_symbol
_atom_site_fract_x
_atom_site_fract_y
_atom_site_fract_z
Hf1 Hf 0.0000 0.0000 0.0000
Cu1 Cu 0.2500 0.2500 0.7500
Ge1 Ge 0.0000 0.0000 0.5000
Ir1 Ir 0.2500 0.2500 0.2500
```

Output
Formation enthalpy at 0 K ... -1.69 eV/f.u.

# 7
Compound: CuAg2BiSe4
Source: Alexandria via LeMat-Bulk
Functional: PBE
Structure: relaxed

```
data_CuAg2BiSe4
_chemical_formula_sum 'Cu4 Ag8 Bi4 Se16'
_symmetry_space_group_name_H-M 'C m c m'
_symmetry_Int_Tables_number 63
_symmetry_space_group_name_Hall '-C 2c 2'
_cell_length_a 3.9481
_cell_length_b 14.3484
_cell_length_c 12.8502
_cell_angle_alpha 90.00
_cell_angle_beta 90.00
_cell_angle_gamma 90.00
loop_
_atom_site_label
_atom_site_type_symbol
_atom_site_fract_x
_atom_site_fract_y
_atom_site_fract_z
Cu1 Cu 0.0000 0.1606 0.2500
Ag1 Ag 0.0000 0.3761 0.5592
Bi1 Bi 0.0000 0.1112 0.7500
Se1 Se 0.0000 0.0000 0.0000
Se2 Se 0.0000 0.2887 0.1206
Se3 Se 0.0000 0.4400 0.7500
```

Output
Formation energy (no corrections) ... -80.3 meV per atom

# 8
Compound: Ac2TmAs3Pd4
Source: Alexandria via LeMat-Bulk
Functional: PBE
Structure: relaxed

```
data_Ac2TmAs3Pd4
_chemical_formula_sum 'Ac2 Tm1 As3 Pd4'
_symmetry_space_group_name_H-M 'P -4 m 2'
_symmetry_Int_Tables_number 115
_cell_length_a 4.3836
_cell_length_b 4.3836
_cell_length_c 11.4460
_cell_angle_alpha 90.00
_cell_angle_beta 90.00
_cell_angle_gamma 90.00
loop_
_symmetry_equiv_pos_as_xyz
'x,y,z'
'y,-x,-z'
'-x,-y,z'
'-y,x,-z'
'-x,y,z'
'-y,-x,-z'
'x,-y,z'
'y,x,-z'
loop_
_atom_site_label
_atom_site_type_symbol
_atom_site_fract_x
_atom_site_fract_y
_atom_site_fract_z
Ac1 Ac 0.0000 0.5000 0.2189
Tm1 Tm 0.0000 0.0000 0.5000
As1 As 0.0000 0.5000 0.8728
As2 As 0.5000 0.5000 0.5000
Pd1 Pd 0.0000 0.0000 0.0000
Pd2 Pd 0.0000 0.5000 0.6500
Pd3 Pd 0.5000 0.5000 0.0000
```

Output
Formation enthalpy at 0 K ... -9.68 eV/f.u.